## A
Computed, not measured: an optimized crystal structure of MnCoMo2 at the PBE level of DFT.

Values from the calculation:
**SG**: R-3m

a = 8.9962 Å, b = 8.9962 Å, c = 8.9962 Å
α = 17.14°, β = 17.14°, γ = 17.14°
Positions (direct):
Mn: 0.0000 0.0000 0.0000
Co: 0.5000 0.5000 0.5000
Mo: 0.2471 0.2471 0.2471
Mo: 0.7529 0.7529 0.7529

## B
Computed, not measured: an optimized crystal structure of MnCoMo2 at the PBE level of DFT.

Values from the calculation:
**SG**: Cm

a = 4.6412 Å, b = 4.6412 Å, c = 4.5994 Å
α = 100.30°, β = 100.30°, γ = 33.46°
Positions (direct):
Mn: 0.0000 0.0000 0.0000
Co: 0.7233 0.7233 0.2778
Mo: 0.2425 0.2425 0.7909
Mo: 0.4696 0.4696 0.4706

Stability verdict: B, ahead by 0.152 eV/atom